a | Si2Hg, optimized geometry, DFT PBE; magnetization = 0.0 μB per formula unit
1.0
5.209 0.000 0.000
0.000 5.209 0.000
0.000 0.000 5.339
Si Hg
4 2
direct
0.154 0.154 0.000 Si
0.346 0.654 0.500 Si
0.654 0.346 0.500 Si
0.846 0.846 0.000 Si
0.000 0.000 0.500 Hg
0.500 0.500 0.000 Hg


b | Si2Hg, optimized geometry, DFT PBE; magnetization = 0.0 μB per formula unit
1.0
4.702 0.000 0.000
-2.351 4.072 0.000
0.000 0.000 5.998
Si Hg
4 2
direct
0.000 0.000 0.000 Si
0.000 0.000 0.500 Si
0.333 0.667 0.250 Si
0.667 0.333 0.750 Si
0.333 0.667 0.750 Hg
0.667 0.333 0.250 Hg


Energies relative to the most stable structure, in eV/atom: a 0.222; b 0.000.


a | Si2Hg, optimized geometry, DFT PBE; magnetization = 0.0 μB per formula unit
1.0
3.851 0.000 0.000
-1.925 3.335 0.000
0.000 0.000 9.605
Si Hg
4 2
direct
0.333 0.667 0.045 Si
0.333 0.667 0.455 Si
0.667 0.333 0.545 Si
0.667 0.333 0.955 Si
0.000 0.000 0.250 Hg
0.000 0.000 0.750 Hg


b | Si2Hg, optimized geometry, DFT PBE; magnetization = 0.0 μB per formula unit
1.0
1.511 -10.945 0.000
1.511 10.945 0.000
0.000 0.000 3.620
Si Hg
4 2
direct
0.036 0.964 0.750 Si
0.230 0.770 0.250 Si
0.770 0.230 0.750 Si
0.964 0.036 0.250 Si
0.379 0.621 0.750 Hg
0.621 0.379 0.250 Hg


Energies relative to the most stable structure, in eV/atom: a 0.000; b 0.169.


a | Si2Hg, optimized geometry, DFT PBE; magnetization = 0.0 μB per formula unit
1.0
-1.408 1.408 8.019
1.408 -1.408 8.019
1.408 1.408 -8.019
Si Hg
2 1
direct
0.196 0.196 0.000 Si
0.804 0.804 0.000 Si
0.500 0.500 0.000 Hg


b | Si2Hg, optimized geometry, DFT PBE; magnetization = 0.0 μB per formula unit
1.0
1.485 -9.620 0.000
1.485 9.620 0.000
0.000 0.000 4.224
Si Hg
4 2
direct
0.044 0.956 0.750 Si
0.431 0.569 0.750 Si
0.569 0.431 0.250 Si
0.956 0.044 0.250 Si
0.304 0.696 0.250 Hg
0.696 0.304 0.750 Hg


c | Si2Hg, optimized geometry, DFT PBE; magnetization = 0.0 μB per formula unit
1.0
7.088 -1.708 0.000
7.088 1.708 0.000
-2.140 0.000 5.109
Si Hg
4 2
direct
0.171 0.171 0.444 Si
0.280 0.280 0.196 Si
0.720 0.720 0.804 Si
0.829 0.829 0.556 Si
0.475 0.475 0.220 Hg
0.525 0.525 0.780 Hg


d | Si2Hg, optimized geometry, DFT PBE; magnetization = 0.0 μB per formula unit
1.0
0.000 3.194 3.194
3.194 0.000 3.194
3.194 3.194 0.000
Si Hg
2 1
direct
0.250 0.250 0.250 Si
0.750 0.750 0.750 Si
0.000 0.000 0.000 Hg


Energies relative to the most stable structure, in eV/atom: a 0.147; b 0.026; c 0.000; d 0.381.


a | Si3Hg2, optimized geometry, DFT PBE; magnetization = 0.0 μB per formula unit
1.0
1.893 1.093 8.306
-1.893 1.093 8.306
0.000 -2.186 8.306
Si Hg
3 2
direct
0.000 0.000 0.000 Si
0.185 0.185 0.185 Si
0.815 0.815 0.815 Si
0.402 0.402 0.402 Hg
0.598 0.598 0.598 Hg


b | Si3Hg2, optimized geometry, DFT PBE; magnetization = 0.0 μB per formula unit
1.0
5.674 -3.466 0.000
5.674 3.466 0.000
-4.232 0.000 5.490
Si Hg
6 4
direct
0.000 0.000 0.000 Si
0.333 0.169 0.833 Si
0.665 0.335 0.500 Si
0.707 0.042 0.125 Si
0.831 0.667 0.167 Si
0.958 0.293 0.875 Si
0.277 0.723 0.500 Hg
0.332 0.169 0.445 Hg
0.386 0.614 0.000 Hg
0.831 0.668 0.555 Hg


Energies relative to the most stable structure, in eV/atom: a 0.167; b 0.000.